{
  "formula": "CaHgS2",
  "functional": "PBE-GGA",
  "state": "optimized geometry",
  "cell": [[9.2579, 0.0000, 0.0000], [0.0000, 5.4156, 0.0000], [-6.3200, 0.0000, 8.8048]],
  "species": ["Ca", "Ca", "Ca", "Ca", "Hg", "Hg", "Hg", "Hg", "S", "S", "S", "S", "S", "S", "S", "S"],
  "frac_coords": [[0.0006, 0.2500, 0.1253], [0.0006, 0.2500, 0.6253], [0.9994, 0.7500, 0.3747], [0.9994, 0.7500, 0.8747], [0.5002, 0.2437, 0.3737], [0.5002, 0.2563, 0.8737], [0.4998, 0.7437, 0.1263], [0.4998, 0.7563, 0.6263], [0.1431, 0.2500, 0.4460], [0.1431, 0.2500, 0.9460], [0.1433, 0.7500, 0.1962], [0.1433, 0.7500, 0.6962], [0.8567, 0.2500, 0.3038], [0.8567, 0.2500, 0.8038], [0.8569, 0.7500, 0.0540], [0.8569, 0.7500, 0.5540]],
  "raw_formation_energy_ev_per_atom": -0.910,
  "final_energy_ev_per_atom": -3.5499
}